Material: Tm5SnGe2
Method: DFT, PBE-GGA
State: optimized geometry

Values from the calculation:
Its total energy is -5.19 eV/atom. The formation enthalpy at 0 K comes out at -738 meV per atom.

Cell: 8.6109 8.6109 8.6109 Å, 126.14 126.14 79.66°
Fractional positions:
Tm (0.0000, 0.0000, 0.0000)
Tm (0.0122, 0.5122, 0.8094)
Tm (0.2029, 0.0122, 0.5000)
Tm (0.2971, 0.7971, 0.8094)
Tm (0.4878, 0.2971, 0.5000)
Tm (0.5000, 0.5000, 0.0000)
Tm (0.5122, 0.7029, 0.5000)
Tm (0.7029, 0.2029, 0.1906)
Tm (0.7971, 0.9878, 0.5000)
Tm (0.9878, 0.4878, 0.1906)
Sn (0.2500, 0.2500, 0.0000)
Sn (0.7500, 0.7500, 0.0000)
Ge (0.1484, 0.3516, 0.5000)
Ge (0.3516, 0.8516, 0.2032)
Ge (0.6484, 0.1484, 0.7968)
Ge (0.8516, 0.6484, 0.5000)